Entry 1:
Density functional theory data (PBE-GGA) for a relaxed structure of ZnCr2Cd.

a = 6.363 Å, b = 6.363 Å, c = 6.363 Å
α = 90.00°, β = 90.00°, γ = 90.00°
Space group F-43m (No. 216)
Inequivalent atoms, fractional coordinates:
Zn 0.000 0.000 0.000 (multiplicity 4)
Cr 0.000 0.000 0.500 (multiplicity 4)
Cr 0.250 0.250 0.750 (multiplicity 4)
Cd 0.250 0.250 0.250 (multiplicity 4)

Summary:
Offset from the most stable computed form   0.1537 eV/atom
Energy of formation from the pure elements   0.35 eV/atom
Electronic total energy   -0.3682 Ry per atom
Calculated density   7.3 Mg/m³
DOS(E_F)   9.50 states/eV/cell


Entry 2:
Density functional theory data (PBE-GGA) for a relaxed structure of Zn2CrCd.

a = 5.838 Å, b = 7.295 Å, c = 3.119 Å
α = 90.00°, β = 90.00°, γ = 90.00°
Space group Cmmm (No. 65)
Inequivalent atoms, fractional coordinates:
Zn 0.250 0.250 0.000 (multiplicity 4)
Cr 0.000 0.000 0.500 (multiplicity 2)
Cd 0.000 0.500 0.500 (multiplicity 2)

Summary:
Energy of formation from the pure elements   0.25 eV/atom
Electronic total energy   -0.2223 Ry per atom
Calculated density   7.4 Mg/m³
DOS(E_F)   4.85 states/eV/cell


Entry 3:
Density functional theory data (PBE-GGA) for a relaxed structure of Zn2CrCd.

a = 10.310 Å, b = 2.709 Å, c = 4.945 Å
α = 90.00°, β = 117.17°, γ = 90.00°
Space group Cm (No. 8)
Inequivalent atoms, fractional coordinates:
Zn 0.000 0.000 0.000 (multiplicity 2)
Zn 0.248 0.000 0.575 (multiplicity 2)
Cr 0.239 0.500 0.053 (multiplicity 2)
Cd 0.490 0.000 0.485 (multiplicity 2)

Summary:
Energy of formation from the pure elements   0.34 eV/atom
Electronic total energy   -0.2158 Ry per atom
Calculated density   8.0 Mg/m³
DOS(E_F)   4.72 states/eV/cell


Entry 4:
Density functional theory data (PBE-GGA) for a relaxed structure of ZnCr2Cd.

a = 3.645 Å, b = 3.645 Å, c = 8.589 Å
α = 90.00°, β = 90.00°, γ = 90.00°
Space group I4/mmm (No. 139)
Inequivalent atoms, fractional coordinates:
Zn 0.000 0.000 0.000 (multiplicity 2)
Cr 0.000 0.500 0.250 (multiplicity 4)
Cd 0.000 0.000 0.500 (multiplicity 2)

Summary:
Offset from the most stable computed form   0.3189 eV/atom
Energy of formation from the pure elements   0.51 eV/atom
Electronic total energy   -0.3560 Ry per atom
Calculated density   8.2 Mg/m³
DOS(E_F)   6.08 states/eV/cell


Entry 5:
Density functional theory data (PBE-GGA) for a relaxed structure of Zn2CrCd.

a = 2.942 Å, b = 4.279 Å, c = 5.485 Å
α = 90.00°, β = 105.37°, γ = 90.00°
Space group Pm (No. 6)
Inequivalent atoms, fractional coordinates:
Zn 0.000 0.000 0.000 (multiplicity 1)
Zn 0.133 0.500 0.264 (multiplicity 1)
Cr 0.407 0.500 0.810 (multiplicity 1)
Cd 0.748 0.000 0.495 (multiplicity 1)

Summary:
Energy of formation from the pure elements   0.20 eV/atom
Electronic total energy   -0.2256 Ry per atom
Calculated density   7.4 Mg/m³
DOS(E_F)   1.85 states/eV/cell


Entry 6:
Density functional theory data (PBE-GGA) for a relaxed structure of Zn2CrCd.

a = 5.584 Å, b = 7.974 Å, c = 2.744 Å
α = 90.00°, β = 90.00°, γ = 90.00°
Space group Cmmm (No. 65)
Inequivalent atoms, fractional coordinates:
Zn 0.250 0.250 0.000 (multiplicity 4)
Cr 0.000 0.000 0.500 (multiplicity 2)
Cd 0.000 0.500 0.500 (multiplicity 2)

Summary:
Energy of formation from the pure elements   0.32 eV/atom
Electronic total energy   -0.2167 Ry per atom
Calculated density   8.0 Mg/m³
DOS(E_F)   2.48 states/eV/cell


Entry 7:
Density functional theory data (PBE-GGA) for a relaxed structure of ZnCr2Cd.

a = 3.637 Å, b = 3.637 Å, c = 19.203 Å
α = 90.00°, β = 90.00°, γ = 90.00°
Space group I-42d (No. 122)
Inequivalent atoms, fractional coordinates:
Zn 0.000 0.000 0.000 (multiplicity 4)
Cr 0.187 0.250 0.125 (multiplicity 8)
Cd 0.000 0.000 0.500 (multiplicity 4)

Summary:
Offset from the most stable computed form   0.6517 eV/atom
Energy of formation from the pure elements   0.85 eV/atom
Electronic total energy   -0.3316 Ry per atom
Calculated density   7.4 Mg/m³
DOS(E_F)   18.12 states/eV/cell


Entry 8:
Density functional theory data (PBE-GGA) for a relaxed structure of Zn2CrCd.

a = 6.409 Å, b = 6.409 Å, c = 6.409 Å
α = 90.00°, β = 90.00°, γ = 90.00°
Space group F-43m (No. 216)
Inequivalent atoms, fractional coordinates:
Zn 0.000 0.000 0.000 (multiplicity 4)
Zn 0.250 0.250 0.250 (multiplicity 4)
Cr 0.000 0.000 0.500 (multiplicity 4)
Cd 0.250 0.250 0.750 (multiplicity 4)

Summary:
Energy of formation from the pure elements   0.23 eV/atom
Electronic total energy   -0.2233 Ry per atom
Calculated density   7.4 Mg/m³
DOS(E_F)   6.34 states/eV/cell


Entry 9:
Density functional theory data (PBE-GGA) for a relaxed structure of ZnCr2Cd.

a = 4.549 Å, b = 4.549 Å, c = 3.226 Å
α = 90.00°, β = 90.00°, γ = 90.00°
Space group P4/mmm (No. 123)
Inequivalent atoms, fractional coordinates:
Zn 0.000 0.000 0.000 (multiplicity 1)
Cr 0.000 0.500 0.500 (multiplicity 2)
Cd 0.500 0.500 0.000 (multiplicity 1)

Summary:
Offset from the most stable computed form   0.2605 eV/atom
Energy of formation from the pure elements   0.46 eV/atom
Electronic total energy   -0.3603 Ry per atom
Calculated density   7.0 Mg/m³
DOS(E_F)   1.56 states/eV/cell


Entry 10:
Density functional theory data (PBE-GGA) for a relaxed structure of Zn2CrCd.

a = 4.101 Å, b = 4.101 Å, c = 3.918 Å
α = 90.00°, β = 90.00°, γ = 90.00°
Space group P4/mmm (No. 123)
Inequivalent atoms, fractional coordinates:
Zn 0.000 0.500 0.000 (multiplicity 2)
Cr 0.000 0.000 0.500 (multiplicity 1)
Cd 0.500 0.500 0.500 (multiplicity 1)

Summary:
Energy of formation from the pure elements   0.20 eV/atom
Electronic total energy   -0.2257 Ry per atom
Calculated density   7.4 Mg/m³
DOS(E_F)   2.23 states/eV/cell


Entry 11:
Density functional theory data (PBE-GGA) for a relaxed structure of ZnCr2Cd.

a = 8.736 Å, b = 2.608 Å, c = 5.135 Å
α = 90.00°, β = 94.46°, γ = 90.00°
Space group Cm (No. 8)
Inequivalent atoms, fractional coordinates:
Zn 0.000 0.000 0.000 (multiplicity 2)
Cr 0.001 0.500 0.444 (multiplicity 2)
Cr 0.241 0.500 0.260 (multiplicity 2)
Cd 0.249 0.000 0.748 (multiplicity 2)

Summary:
Offset from the most stable computed form   0.2802 eV/atom
Energy of formation from the pure elements   0.48 eV/atom
Electronic total energy   -0.3589 Ry per atom
Calculated density   8.0 Mg/m³
DOS(E_F)   5.58 states/eV/cell


Entry 12:
Density functional theory data (PBE-GGA) for a relaxed structure of ZnCr2Cd.

a = 3.088 Å, b = 4.603 Å, c = 8.734 Å
α = 90.00°, β = 90.00°, γ = 90.00°
Space group Imm2 (No. 44)
Inequivalent atoms, fractional coordinates:
Zn 0.000 0.000 0.000 (multiplicity 2)
Cr 0.000 0.000 0.541 (multiplicity 2)
Cr 0.000 0.500 0.240 (multiplicity 2)
Cd 0.000 0.500 0.765 (multiplicity 2)

Summary:
Offset from the most stable computed form   0.1367 eV/atom
Energy of formation from the pure elements   0.33 eV/atom
Electronic total energy   -0.3694 Ry per atom
Calculated density   7.5 Mg/m³
DOS(E_F)   4.71 states/eV/cell


Which value of DOS(E_F) does entry 9 give? 1.56 states/eV/cell